A plane-wave DFT calculation with GGA-PBE was carried out for AcSm2Ir9 after structural relaxation.

Structure (POSCAR):
```
AcSm2Ir9
1.0
-0.6152 5.3173 -0.8347
-4.9381 2.2192 0.1964
-0.8469 3.9831 8.4170
Sm Ir Ac
2 9 1
Cartesian
-1.2688 3.3651 4.7914
-5.1314 8.1545 2.9872
-2.5357 4.1400 1.8079
-4.5525 9.0024 7.9620
-3.2001 5.7598 3.8893
-3.8645 7.3796 5.9706
-1.4133 6.2780 5.8732
-1.8477 2.5172 -0.1834
-4.9869 5.2416 1.9054
-3.5591 4.7402 6.3850
-2.8411 6.7794 1.3936
0.0000 0.0000 0.0000
```

Properties
The size of the total moment comes out at 0.00 μB/f.u. The value obtained for the calculated density is 16.74 g cm⁻³. For the final energy, the calculation gives -0.6089 Ry per atom. The energy relative to the elements is -510 meV per atom. The space group is R-3m (166).